Below is a geometry-optimized CsCeVO4 structure, with properties calculated at the PBE+U level.

Fermi-level density of states	11.41	states/eV/cell
mass density	4490	kg/m3
calculated total energy	-101.78	eV for the cell shown

Cell lengths 6.0838, 6.1233, 8.1658 Å; angles 90.00, 109.36, 90.00 degrees
Fractional positions:
Cs: 0.1866 0.2500 0.4293
Cs: 0.8134 0.7500 0.5707
Ce: 0.2993 0.2500 0.9604
Ce: 0.7007 0.7500 0.0396
V: 0.2433 0.7500 0.1549
V: 0.7567 0.2500 0.8451
O: 0.0149 0.7500 0.9426
O: 0.0433 0.7500 0.2818
O: 0.4564 0.5247 0.1617
O: 0.4564 0.9753 0.1617
O: 0.5436 0.0247 0.8383
O: 0.5436 0.4753 0.8383
O: 0.9567 0.2500 0.7182
O: 0.9851 0.2500 0.0574